Run 1
Material: Ba3Hg5
Method: DFT, GGA-PBE
State: relaxed

The space group is Cmmm (No. 65) and the conventional cell measures 8.668, 11.326 and 5.739 Å, with angles of 90.00, 90.00 and 90.00 degrees. Symmetry generates all atoms from Ba at (0.000, 0.000, 0.000), Ba at (0.000, 0.290, 0.500), Hg at (0.000, 0.500, 0.000), Hg at (0.208, 0.000, 0.500) and Hg at (0.250, 0.250, 0.000).

The calculation puts the total magnetization at 0.0 μB/cell.

---

Run 2
Material: Ba3Hg5
Method: DFT, GGA-PBE
State: relaxed

The space group is P6_3/mcm (No. 193) and the conventional cell measures 10.1282, 10.1282 and 6.9497 Å, with angles of 90.00, 90.00 and 120.00 degrees. Symmetry generates all atoms from Ba at (0.0000, 0.3724, 0.2500), Hg at (0.0000, 0.2862, 0.7500) and Hg at (0.3333, 0.6667, 0.0000).

The calculation puts the total magnetization at 0.0 μB/cell.

---

In order of decreasing stability: run 1, run 2.

---

Run 1
Material: Ba2Hg13
Method: DFT, GGA-PBE
State: relaxed

The space group is R-3m (No. 166, hexagonal axes) and the conventional cell measures 8.5855, 8.5855 and 22.0923 Å, with angles of 90.00, 90.00 and 120.00 degrees. Symmetry generates all atoms from Ba at (0.0000, 0.0000, 0.1543), Hg at (0.0000, 0.0000, 0.0000), Hg at (0.0765, 0.5382, 0.3811) and Hg at (0.0962, 0.5481, 0.2373).

The calculation puts the total magnetization at 0.0 μB/cell.

---

Run 2
Material: Ba2Hg13
Method: DFT, GGA-PBE
State: relaxed

The space group is R-3m (No. 166, hexagonal axes) and the conventional cell measures 6.9807, 6.9807 and 34.8312 Å, with angles of 90.00, 90.00 and 120.00 degrees. Symmetry generates all atoms from Ba at (0.0000, 0.0000, 0.1998), Hg at (0.0000, 0.0000, 0.5000), Hg at (0.0159, 0.5080, 0.9579) and Hg at (0.0351, 0.5175, 0.7726).

The calculation puts the total magnetization at 0.0 μB/cell.

---

In order of decreasing stability: run 2, run 1.

---

Run 1
Material: BaHg12
Method: DFT, GGA-PBE
State: relaxed

The space group is Fm-3m (No. 225) and the conventional cell measures 12.645, 12.645 and 12.645 Å, with angles of 90.00, 90.00 and 90.00 degrees. Symmetry generates all atoms from Ba at (0.000, 0.000, 0.000) and Hg at (0.000, 0.170, 0.330).

The calculation puts the total magnetization at 0.0 μB/cell.

---

Run 2
Material: BaHg12
Method: DFT, GGA-PBE
State: relaxed

The space group is I4/mmm (No. 139) and the conventional cell measures 10.981, 10.981 and 6.189 Å, with angles of 90.00, 90.00 and 90.00 degrees. Symmetry generates all atoms from Ba at (0.000, 0.000, 0.000), Hg at (0.000, 0.209, 0.500), Hg at (0.000, 0.356, 0.000) and Hg at (0.250, 0.250, 0.250).

The calculation puts the total magnetization at 0.0 μB/cell.

---

In order of decreasing stability: run 2, run 1.

---

Run 1
Material: Ba5Hg3
Method: DFT, GGA-PBE
State: relaxed

The space group is P6_3/mcm (No. 193) and the conventional cell measures 10.2523, 10.2523 and 7.7361 Å, with angles of 90.00, 90.00 and 120.00 degrees. Symmetry generates all atoms from Ba at (0.0000, 0.2543, 0.2500), Ba at (0.3333, 0.6667, 0.0000) and Hg at (0.0000, 0.3967, 0.7500).

The calculation puts the total magnetization at 1.3 μB/cell.

---

Run 2
Material: Ba5Hg3
Method: DFT, GGA-PBE
State: relaxed

The space group is P4/mmm (No. 123) and the conventional cell measures 4.249, 4.249 and 19.429 Å, with angles of 90.00, 90.00 and 90.00 degrees. Symmetry generates all atoms from Ba at (0.000, 0.000, 0.000), Ba at (0.000, 0.000, 0.210), Ba at (0.500, 0.500, 0.397), Hg at (0.000, 0.000, 0.500) and Hg at (0.500, 0.500, 0.113).

The calculation puts the total magnetization at 0.0 μB/cell.

---

Run 3
Material: Ba5Hg3
Method: DFT, GGA-PBE
State: relaxed

The space group is Cmmm (No. 65) and the conventional cell measures 9.593, 11.811 and 5.864 Å, with angles of 90.00, 90.00 and 90.00 degrees. Symmetry generates all atoms from Ba at (0.000, 0.000, 0.000), Ba at (0.202, 0.500, 0.500), Ba at (0.250, 0.250, 0.000), Hg at (0.000, 0.201, 0.500) and Hg at (0.000, 0.500, 0.000).

The calculation puts the total magnetization at 0.0 μB/cell.

---

In order of decreasing stability: run 2, run 1, run 3.